i | A relaxed KNi2Ag2 crystal, computed with PBE-GGA.

As for the size of the total moment: 0.94 μB/cell. As for the volume: 20.158 Å³/atom.

It has space group I4/mmm (No. 139), with a = 4.438 Å, b = 4.438 Å, c = 10.233 Å, α = 90.00°, β = 90.00° and γ = 90.00°. The asymmetric unit holds K at (0.000, 0.000, 0.000), Ni at (0.000, 0.000, 0.389) and Ag at (0.000, 0.500, 0.250).

---

ii | A relaxed KNi2Ag2 crystal, computed with PBE-GGA.

As for the size of the total moment: 0.22 μB/cell. As for the volume: 18.081 Å³/atom.

It has space group P4/mbm (No. 127), with a = 8.119 Å, b = 8.119 Å, c = 2.743 Å, α = 90.00°, β = 90.00° and γ = 90.00°. The asymmetric unit holds K at (0.000, 0.000, 0.000), Ni at (0.158, 0.342, 0.500) and Ag at (0.133, 0.633, 0.000).

---

iii | A relaxed KNi2Ag2 crystal, computed with PBE-GGA.

As for the size of the total moment: 1.68 μB/cell. As for the volume: 18.003 Å³/atom.

It has space group P4/mbm (No. 127), with a = 8.034 Å, b = 8.034 Å, c = 2.789 Å, α = 90.00°, β = 90.00° and γ = 90.00°. The asymmetric unit holds K at (0.000, 0.000, 0.000), Ni at (0.106, 0.394, 0.000) and Ag at (0.181, 0.681, 0.500).

---

Ranking the structures above by stability puts iii first and i last.